Entry from the Alexandria database: a geometry-optimized BaPdS structure (PBE).

Unit cell a=6.242 b=8.147 c=6.197 alpha=90.00 beta=90.00 gamma=90.00
Sites, in units of the cell vectors:
Ba: 0.000 0.153 0.250
Ba: 0.000 0.847 0.750
Ba: 0.500 0.347 0.750
Ba: 0.500 0.653 0.250
Pd: 0.000 0.500 0.000
Pd: 0.000 0.500 0.500
Pd: 0.500 0.000 0.000
Pd: 0.500 0.000 0.500
S: 0.000 0.278 0.750
S: 0.000 0.722 0.250
S: 0.500 0.222 0.250
S: 0.500 0.778 0.750

Calculated values
* space-group type: Cmcm
* raw total energy: -4.9806 eV per atom
* formation energy (no corrections): -1233 meV per atom